# 1
## TaPd4 (PBE)

Data for an optimized crystal structure of TaPd4.

Unit cell a=7.664 b=5.220 c=4.531 alpha=90.00 beta=110.14 gamma=90.00
Space group C2/m (No. 12)
One atom of each set of equivalent atoms:
Ta: 0.000 0.000 0.000 x2
Pd: 0.000 0.257 0.500 x4
Pd: 0.186 0.500 0.109 x4

Properties
Its total energy is -6.643 eV/atom. The calculation puts the excess energy over the best structure of this formula in the dataset at 0 meV per atom. The energy of formation is -0.118 eV per atom.

***

# 2
## TaPd (PBE)

Data for an optimized crystal structure of TaPd.

Unit cell a=7.119 b=7.119 c=7.119 alpha=90.00 beta=90.00 gamma=90.00
Space group Pm-3n (No. 223)
One atom of each set of equivalent atoms:
Ta: 0.000 0.250 0.500 x6
Pd: 0.000 0.500 0.250 x6

Properties
Its total energy is -7.272 eV/atom. The energy of formation is 1.251 eV per atom.

***

# 3
## Ta4Pd (PBE)

Data for an optimized crystal structure of Ta4Pd.

Unit cell a=4.786 b=4.786 c=4.786 alpha=90.00 beta=90.00 gamma=90.00
Space group Pm-3m (No. 221)
One atom of each set of equivalent atoms:
Ta: 0.000 0.000 0.000 x1
Ta: 0.000 0.500 0.500 x3
Pd: 0.500 0.500 0.500 x1

Properties
Its total energy is -9.036 eV/atom. The energy of formation is 1.484 eV per atom.

***

# 4
## TaPd (PBE)

Data for an optimized crystal structure of TaPd.

Unit cell a=10.702 b=4.450 c=5.603 alpha=90.00 beta=90.00 gamma=90.00
Space group Pnma (No. 62)
One atom of each set of equivalent atoms:
Ta: 0.055 0.250 0.102 x4
Ta: 0.174 0.750 0.341 x4
Pd: 0.079 0.250 0.606 x4
Pd: 0.194 0.750 0.842 x4

Properties
Its total energy is -8.744 eV/atom. The energy of formation is -0.222 eV per atom.

***

# 5
## TaPd (PBE)

Data for an optimized crystal structure of TaPd.

Unit cell a=10.050 b=10.050 c=2.808 alpha=90.00 beta=90.00 gamma=90.00
Space group I4/m (No. 87)
One atom of each set of equivalent atoms:
Ta: 0.109 0.164 0.000 x8
Pd: 0.099 0.640 0.000 x8

Properties
Its total energy is -8.341 eV/atom. The energy of formation is 0.182 eV per atom.

***

# 6
## Ta3Pd (PBE)

Data for an optimized crystal structure of Ta3Pd.

Unit cell a=2.770 b=2.854 c=9.241 alpha=90.00 beta=90.00 gamma=90.00
Space group Pmm2 (No. 25)
One atom of each set of equivalent atoms:
Ta: 0.000 0.000 0.000 x1
Ta: 0.000 0.500 0.275 x1
Ta: 0.500 0.500 0.751 x1
Pd: 0.500 0.000 0.495 x1

Properties
Its total energy is -9.996 eV/atom. The energy of formation is 0.192 eV per atom.

***

Question: What is the energy of formation in the first record?
Answer: -0.118 eV per atom